Below is a relaxed structure of ZrBTeP2, with properties calculated at the GGA-PBE level.

Cell: 4.163 5.108 4.163 Å, 90.00 90.00 90.00°
Atoms (fractional coordinates):
B 0.000 0.000 0.000
Te 0.000 0.500 0.000
P 0.500 0.000 0.000
P 0.000 0.000 0.500
Zr 0.500 0.500 0.500

Values from the calculation:
Crystal system: tetragonal
Formation energy (no corrections) in meV per atom: 485
VASP energy in eV per atom: -5.352
Density of states at the Fermi level in states/eV per atom: 0.91

=====

Below is a relaxed structure of K2PmP2O7, with properties calculated at the GGA-PBE level.

Cell: 5.690 5.690 7.947 Å, 69.02 69.02 60.00°
Last column: magnetic moment on the atom in μB.
Atoms (fractional coordinates):
O 0.790 0.243 0.725  0.00
O 0.757 0.210 0.275  0.00
O 0.757 0.757 0.275  0.00
O 0.243 0.790 0.725  0.00
O 0.210 0.757 0.275  0.00
O 0.000 0.000 0.000  0.00
O 0.243 0.243 0.725  0.00
Pm 0.500 0.500 0.500  0.15
K 0.281 0.281 0.157  0.01
K 0.719 0.719 0.843  0.01
P 0.925 0.925 0.224  0.00
P 0.075 0.075 0.776  0.00

Values from the calculation:
Crystal system: trigonal
Formation energy (no corrections) in meV per atom: -2326
VASP energy in eV per atom: -6.699
Density of states at the Fermi level in states/eV per atom: 0.25

=====

Below is a relaxed structure of RbScFe2I8, with properties calculated at the GGA-PBE level.

Cell: 7.290 7.290 10.653 Å, 85.16 85.16 68.77°
Last column: magnetic moment on the atom in μB.
Atoms (fractional coordinates):
Fe 0.622 0.622 0.209  3.28
Fe 0.378 0.378 0.791  3.28
I 0.769 0.265 0.801  0.06
I 0.240 0.240 0.998  0.07
I 0.760 0.760 0.002  0.07
I 0.693 0.693 0.426  0.11
I 0.265 0.769 0.801  0.06
I 0.307 0.307 0.574  0.11
I 0.735 0.231 0.199  0.06
I 0.231 0.735 0.199  0.06
Sc 0.000 0.000 0.000  0.03
Rb 0.000 0.000 0.500  0.00

Values from the calculation:
Crystal system: monoclinic
Formation energy (no corrections) in meV per atom: -661
VASP energy in eV per atom: -3.713
Density of states at the Fermi level in states/eV per atom: 1.07

=====

Below is a relaxed structure of ZrVCo3, with properties calculated at the GGA-PBE level.

Cell: 3.785 3.785 5.513 Å, 110.08 110.08 90.00°
Atoms (fractional coordinates):
Co 0.268 0.768 0.537
Co 0.416 0.416 0.832
Co 0.768 0.268 0.537
Zr 0.001 0.001 0.002
V 0.637 0.637 0.273

Values from the calculation:
Crystal system: tetragonal
ΔE_f in meV per atom: -106
VASP energy in eV per atom: -7.903
Energy relative to the lowest polymorph listed for this composition in meV/atom: 0
Density of states at the Fermi level in states/eV per atom: 0.65

=====

Below is a relaxed structure of Dy4Zn5Co2, with properties calculated at the GGA-PBE level.

Cell: 3.715 6.910 8.687 Å, 95.01 90.00 90.00°
Atoms (fractional coordinates):
Zn 0.000 0.811 0.845
Zn 0.000 0.189 0.155
Zn 0.000 0.439 0.688
Zn 0.000 0.561 0.312
Zn 0.000 0.500 0.000
Dy 0.500 0.240 0.438
Dy 0.500 0.760 0.562
Dy 0.500 0.828 0.147
Dy 0.500 0.172 0.853
Co 0.000 0.937 0.367
Co 0.000 0.063 0.633

Values from the calculation:
Crystal system: monoclinic
ΔE_f in meV per atom: -273
VASP energy in eV per atom: -3.817
Density of states at the Fermi level in states/eV per atom: 0.73

=====

Below is a relaxed structure of Pr2Ni3Sn4, with properties calculated at the GGA-PBE level.

Cell: 5.904 5.904 7.112 Å, 101.43 101.43 121.51°
Atoms (fractional coordinates):
Sn 0.985 0.319 0.305
Sn 0.681 0.015 0.695
Sn 0.015 0.681 0.695
Sn 0.319 0.985 0.305
Pr 0.370 0.370 0.739
Pr 0.630 0.630 0.261
Ni 0.000 0.500 0.000
Ni 0.500 0.000 0.000
Ni 0.000 0.000 0.000

Values from the calculation:
Crystal system: orthorhombic
ΔE_f in meV per atom: -407
VASP energy in eV per atom: -5.175
Density of states at the Fermi level in states/eV per atom: 0.94

=====

Below is a relaxed structure of CrMoSeN2, with properties calculated at the GGA-PBE level.

Cell: 3.736 3.736 5.074 Å, 90.00 90.00 90.00°
Last column: magnetic moment on the atom in μB.
Atoms (fractional coordinates):
Cr 0.000 0.000 0.000  1.44
N 0.000 0.500 0.000  -0.47
N 0.500 0.000 0.000  -0.47
Mo 0.500 0.500 0.500  2.77
Se 0.000 0.000 0.500  -0.06

Values from the calculation:
Crystal system: tetragonal
Formation energy (no corrections) in meV per atom: 772
VASP energy in eV per atom: -7.346
Energy relative to the lowest polymorph listed for this composition in meV/atom: 329
Density of states at the Fermi level in states/eV per atom: 0.49

=====

Below is a relaxed structure of ZnReAg, with properties calculated at the GGA-PBE level.

Cell: 2.773 2.773 6.965 Å, 90.00 90.00 120.00°
Atoms (fractional coordinates):
Ag 0.000 0.000 0.993
Re 0.333 0.667 0.344
Zn 0.667 0.333 0.663

Values from the calculation:
Crystal system: trigonal
ΔE_f in meV per atom: 296
VASP energy in eV per atom: -5.229
Energy relative to the lowest polymorph listed for this composition in meV/atom: 237
Density of states at the Fermi level in states/eV per atom: 0.77

=====

Below is a relaxed structure of Pu4PdRu, with properties calculated at the GGA-PBE level.

Cell: 5.981 6.914 6.914 Å, 90.00 90.00 90.00°
Last column: magnetic moment on the atom in μB.
Atoms (fractional coordinates):
Pd 0.750 0.000 0.000  0.04
Pd 0.250 0.000 0.000  0.04
Ru 0.750 0.500 0.500  -0.53
Ru 0.250 0.500 0.500  -0.53
Pu 0.500 0.656 0.174  5.50
Pu 0.000 0.174 0.656  5.50
Pu 0.500 0.826 0.656  5.50
Pu 0.500 0.344 0.826  5.50
Pu 0.000 0.656 0.826  5.50
Pu 0.000 0.826 0.344  5.50
Pu 0.000 0.344 0.174  5.50
Pu 0.500 0.174 0.344  5.50

Values from the calculation:
Crystal system: tetragonal
ΔE_f in meV per atom: -123
VASP energy in eV per atom: -12.089
Energy relative to the lowest polymorph listed for this composition in meV/atom: 0
Density of states at the Fermi level in states/eV per atom: 4.30

=====

Below is a relaxed structure of Ir2RhBr, with properties calculated at the GGA-PBE level.

Cell: 5.091 5.091 7.548 Å, 70.29 70.29 90.00°
Atoms (fractional coordinates):
Rh 0.750 0.250 0.500
Rh 0.000 0.000 0.000
Ir 0.122 0.625 0.250
Ir 0.375 0.372 0.750
Ir 0.628 0.125 0.250
Ir 0.875 0.878 0.750
Br 0.250 0.750 0.500
Br 0.500 0.500 0.000

Values from the calculation:
Crystal system: tetragonal
Formation energy (no corrections) in meV per atom: 1280
VASP energy in eV per atom: -5.407
Energy relative to the lowest polymorph listed for this composition in meV/atom: 817
Density of states at the Fermi level in states/eV per atom: 0.69

=====

Below is a relaxed structure of La3PrHo6Tm2, with properties calculated at the GGA-PBE level.

Cell: 6.220 6.220 11.859 Å, 95.01 95.01 120.00°
Atoms (fractional coordinates):
La 0.167 0.833 0.500
La 0.833 0.167 0.500
La 0.500 0.500 0.500
Ho 0.747 0.747 0.245
Ho 0.253 0.253 0.755
Ho 0.584 0.918 0.755
Ho 0.918 0.584 0.755
Ho 0.416 0.082 0.245
Ho 0.082 0.416 0.245
Tm 0.667 0.333 0.000
Tm 0.333 0.667 0.000
Pr 0.000 0.000 0.000

Values from the calculation:
Crystal system: monoclinic
ΔE_f in meV per atom: 23
VASP energy in eV per atom: -4.641
Density of states at the Fermi level in states/eV per atom: 1.33

=====

Below is a relaxed structure of Sc3CrTe, with properties calculated at the GGA-PBE level.

Cell: 4.878 4.878 4.878 Å, 90.00 90.00 90.00°
Atoms (fractional coordinates):
Sc 0.000 0.000 0.500
Sc 0.500 0.000 0.000
Sc 0.000 0.500 0.000
Cr 0.000 0.000 0.000
Te 0.500 0.500 0.500

Values from the calculation:
Crystal system: cubic
Formation energy (no corrections) in meV per atom: 155
VASP energy in eV per atom: -6.197
Energy relative to the lowest polymorph listed for this composition in meV/atom: 0
Density of states at the Fermi level in states/eV per atom: 1.72